First-principles (PBE-GGA) data for crystalline SnGeBiIr2 at its relaxed geometry, as listed in Alexandria. Values from VASP.

Properties
As for the density of states at the Fermi level: 5.5 states/eV/cell. For the energy of formation, the calculation gives 0.8645 eV per atom. Its space-group type is P4/mmm, No. 123.

Geometry as Quantum ESPRESSO input:
```
&SYSTEM
  ibrav = 0, nat = 5, ntyp = 4
/
ATOMIC_SPECIES
Sn 118.71 Sn.upf
Ge 72.64 Ge.upf
Bi 208.98 Bi.upf
Ir 192.22 Ir.upf
ATOMIC_POSITIONS angstrom
Sn 0.000 0.000 0.000
Ge 2.333 2.333 2.732
Bi 2.333 2.333 0.000
Ir 0.000 2.333 2.732
Ir 2.333 0.000 2.732
CELL_PARAMETERS angstrom
4.665 0.000 0.000
0.000 4.665 0.000
0.000 0.000 5.465
```

First-principles (PBE-GGA) data for crystalline La3ReTc at its relaxed geometry, as listed in Alexandria. Values from VASP.

Properties
As for the density of states at the Fermi level: 8.0 states/eV/cell. For the energy of formation, the calculation gives 0.8294 eV per atom. The value obtained for the energy relative to the lowest polymorph listed for this composition is 0.0 meV per atom. Its space-group type is Pm-3m, No. 221.

Geometry as Quantum ESPRESSO input:
```
&SYSTEM
  ibrav = 0, nat = 5, ntyp = 3
/
ATOMIC_SPECIES
La 138.91 La.upf
Re 186.21 Re.upf
Tc 98.00 Tc.upf
ATOMIC_POSITIONS angstrom
La 0.000 0.000 2.728
La 0.000 2.728 0.000
La 2.728 0.000 0.000
Re 0.000 0.000 0.000
Tc 2.728 2.728 2.728
CELL_PARAMETERS angstrom
5.456 0.000 0.000
0.000 5.456 0.000
0.000 0.000 5.456
```

First-principles (PBE-GGA) data for crystalline CsRb10Na3 at its relaxed geometry, as listed in Alexandria. Values from VASP.

Properties
As for the density of states at the Fermi level: 24.4 states/eV/cell. For the energy of formation, the calculation gives 0.0441 eV per atom. Its space-group type is Fm-3m, No. 225.

Geometry as Quantum ESPRESSO input:
```
&SYSTEM
  ibrav = 0, nat = 28, ntyp = 3
/
ATOMIC_SPECIES
Cs 132.91 Cs.upf
Rb 85.47 Rb.upf
Na 22.99 Na.upf
ATOMIC_POSITIONS angstrom
Cs 5.313 5.313 5.313
Cs 15.940 15.940 15.940
Rb 3.612 3.612 0.000
Rb 7.015 7.015 0.000
Rb 3.612 0.000 3.612
Rb 10.627 7.015 3.612
Rb 7.015 0.000 7.015
Rb 10.627 3.612 7.015
Rb 13.091 8.162 8.162
Rb 0.000 3.612 3.612
Rb 7.015 10.627 3.612
Rb 7.015 3.612 10.627
Rb 8.162 8.162 8.162
Rb 13.091 13.091 8.162
Rb 13.091 8.162 13.091
Rb 8.162 13.091 8.162
Rb 8.162 8.162 13.091
Rb 13.091 13.091 13.091
Rb 0.000 7.015 7.015
Rb 3.612 10.627 7.015
Rb 3.612 7.015 10.627
Rb 8.162 13.091 13.091
Na 10.627 10.627 5.730
Na 10.627 5.730 10.627
Na 15.524 10.627 10.627
Na 5.730 10.627 10.627
Na 10.627 15.524 10.627
Na 10.627 10.627 15.524
CELL_PARAMETERS angstrom
0.000 10.627 10.627
10.627 0.000 10.627
10.627 10.627 0.000
```

First-principles (PBE-GGA) data for crystalline Ac2Th2Te7 at its relaxed geometry, as listed in Alexandria. Values from VASP.

Properties
The value obtained for the uncorrected formation energy is -1.374 eV/atom. As for the density of states at the Fermi level: 0.5 states/eV/cell. The value obtained for the energy relative to the lowest polymorph listed for this composition is 0.0 meV per atom. Its space-group type is Imm2, No. 44.

Geometry as Quantum ESPRESSO input:
```
&SYSTEM
  ibrav = 0, nat = 11, ntyp = 3
/
ATOMIC_SPECIES
Ac 227.00 Ac.upf
Th 232.04 Th.upf
Te 127.60 Te.upf
ATOMIC_POSITIONS angstrom
Ac 0.000 3.883 0.000
Ac 0.000 12.631 0.000
Th 2.307 0.000 3.085
Th 0.000 0.000 7.630
Te 2.307 -2.948 2.066
Te 0.000 0.000 0.751
Te 2.307 6.525 -0.204
Te 2.307 2.948 2.066
Te 0.000 1.732 4.843
Te 0.000 6.083 2.978
Te 0.000 10.431 2.978
CELL_PARAMETERS angstrom
-2.307 8.257 5.047
2.307 -8.257 5.047
2.307 8.257 -5.047
```

First-principles (PBE-GGA) data for crystalline LiCaTlCl6 at its relaxed geometry, as listed in Alexandria. Values from VASP.

Properties
The value obtained for the uncorrected formation energy is -1.470 eV/atom. As for the density of states at the Fermi level: 0.0 states/eV/cell. Its space-group type is P4_2nm, No. 102.

Geometry as Quantum ESPRESSO input:
```
&SYSTEM
  ibrav = 0, nat = 18, ntyp = 4
/
ATOMIC_SPECIES
Li 6.94 Li.upf
Ca 40.08 Ca.upf
Tl 204.38 Tl.upf
Cl 35.45 Cl.upf
ATOMIC_POSITIONS angstrom
Li 0.000 0.000 0.000
Li 3.161 3.161 5.974
Ca 0.000 0.000 3.957
Ca 3.161 3.161 9.931
Tl 0.000 0.000 7.979
Tl 3.161 3.161 2.005
Cl 1.194 1.194 9.999
Cl 1.265 1.265 1.904
Cl 1.263 1.263 6.058
Cl 1.898 4.424 0.084
Cl 1.896 4.426 7.878
Cl 1.967 4.355 4.025
Cl 4.355 1.967 4.025
Cl 4.424 1.898 0.084
Cl 4.426 1.896 7.878
Cl 5.057 5.057 1.904
Cl 5.059 5.059 6.058
Cl 5.128 5.128 9.999
CELL_PARAMETERS angstrom
6.322 0.000 0.000
0.000 6.322 0.000
0.000 0.000 11.948
```

First-principles (PBE-GGA) data for crystalline LiYErLu at its relaxed geometry, as listed in Alexandria. Values from VASP.

Properties
As for the density of states at the Fermi level: 12.9 states/eV/cell. For the energy of formation, the calculation gives 0.1660 eV per atom. Its space-group type is F-43m, No. 216.

Geometry as Quantum ESPRESSO input:
```
&SYSTEM
  ibrav = 0, nat = 16, ntyp = 4
/
ATOMIC_SPECIES
Li 6.94 Li.upf
Y 88.91 Y.upf
Er 167.26 Er.upf
Lu 174.97 Lu.upf
ATOMIC_POSITIONS angstrom
Li 0.000 0.000 0.000
Li 0.000 3.830 3.830
Li 3.830 0.000 3.830
Li 3.830 3.830 0.000
Y 1.915 1.915 5.746
Y 1.915 5.746 1.915
Y 5.746 1.915 1.915
Y 5.746 5.746 5.746
Er 1.915 1.915 1.915
Er 1.915 5.746 5.746
Er 5.746 1.915 5.746
Er 5.746 5.746 1.915
Lu 0.000 0.000 3.830
Lu 0.000 3.830 0.000
Lu 3.830 0.000 0.000
Lu 3.830 3.830 3.830
CELL_PARAMETERS angstrom
7.661 0.000 0.000
0.000 7.661 0.000
0.000 0.000 7.661
```

First-principles (PBE-GGA) data for crystalline Sm6Ho2Ag at its relaxed geometry, as listed in Alexandria. Values from VASP.

Properties
As for the density of states at the Fermi level: 13.2 states/eV/cell. For the energy of formation, the calculation gives 0.1034 eV per atom. Its space-group type is C2/m, No. 12.

Geometry as Quantum ESPRESSO input:
```
&SYSTEM
  ibrav = 0, nat = 9, ntyp = 3
/
ATOMIC_SPECIES
Sm 150.36 Sm.upf
Ho 164.93 Ho.upf
Ag 107.87 Ag.upf
ATOMIC_POSITIONS angstrom
Sm 5.852 1.637 1.776
Sm 8.699 2.739 0.000
Sm 11.535 1.637 1.770
Sm 5.852 -1.637 1.776
Sm 8.699 -2.739 0.000
Sm 11.535 -1.637 1.770
Ho 3.113 0.000 3.538
Ho 14.274 0.000 0.009
Ag 8.693 0.000 1.773
CELL_PARAMETERS angstrom
8.699 -4.715 0.000
8.699 4.715 0.000
-0.012 0.000 3.547
```

First-principles (PBE-GGA) data for crystalline RbPuBrF2 at its relaxed geometry, as listed in Alexandria. Values from VASP.

Properties
The value obtained for the uncorrected formation energy is -2.503 eV/atom. As for the density of states at the Fermi level: 15.7 states/eV/cell. Its space-group type is Pmm2, No. 25.

Geometry as Quantum ESPRESSO input:
```
&SYSTEM
  ibrav = 0, nat = 5, ntyp = 4
/
ATOMIC_SPECIES
Rb 85.47 Rb.upf
Pu 244.00 Pu.upf
Br 79.90 Br.upf
F 19.00 F.upf
ATOMIC_POSITIONS angstrom
Rb 0.000 0.000 0.000
Pu 2.200 2.211 4.418
Br 2.200 2.211 1.506
F 0.000 2.211 5.353
F 2.200 0.000 5.321
CELL_PARAMETERS angstrom
4.400 0.000 0.000
0.000 4.421 0.000
0.000 0.000 7.326
```